Compound: LaYPu2
Source: Alexandria
Functional: GGA-PBE
Structure: optimized geometry

a = 4.9269 Å, b = 4.9269 Å, c = 4.9991 Å
α = 90.00°, β = 90.00°, γ = 90.00°
Last column: nearest neighbours and their distance in Å.
Fractional positions:
La: 0.0000 0.0000 0.0000  4 Y 3.48, 8 Pu 3.51
Y: 0.5000 0.5000 0.0000  4 La 3.48, 8 Pu 3.51
Pu: 0.0000 0.5000 0.5000  4 Pu 3.48, 4 La 3.51, 4 Y 3.51
Pu: 0.5000 0.0000 0.5000  4 Pu 3.48, 4 La 3.51, 4 Y 3.51

total DFT energy (no corrections): -9.79 eV per atom
Fermi-level density of states: 15.68 states/eV per cell
calculated density: 9795 kg/m³
DFT formation energy: 0.22 eV per atom
crystal system: tetragonal
V: 121.35 Å³ per cell



Compound: BeMoPd
Source: Alexandria
Functional: GGA-PBE
Structure: optimized geometry

a = 4.9223 Å, b = 4.9223 Å, c = 6.7216 Å
α = 123.34°, β = 123.34°, γ = 36.48°
Last column: nearest neighbours and their distance in Å.
Fractional positions:
Be: 0.0000 0.0000 0.0000  1 Be 2.15, 4 Pd 2.26-2.35
Be: 0.7304 0.7304 0.6885  1 Be 2.15
Mo: 0.0001 0.0001 0.3954  3 Be 2.45-2.66, 3 Pd 2.59-2.73, 2 Mo 2.60
Mo: 0.2931 0.2931 0.0227  5 Be 2.50-2.65, 2 Mo 2.60
Pd: 0.4377 0.4377 0.6964  4 Be 2.35-2.45
Pd: 0.6828 0.6828 0.2786  3 Be 2.26-2.52

total DFT energy (no corrections): -6.68 eV per atom
Fermi-level density of states: 2.61 states/eV per cell
calculated density: 8890 kg/m³
DFT formation energy: -0.10 eV per atom
crystal system: monoclinic
V: 78.97 Å³ per cell



Compound: Mg2Tl2Br5
Source: Alexandria
Functional: GGA-PBE
Structure: optimized geometry

a = 7.2016 Å, b = 7.2016 Å, c = 8.3655 Å
α = 91.79°, β = 91.79°, γ = 44.21°
Last column: nearest neighbours and their distance in Å.
Fractional positions:
Mg: 0.1774 0.1774 0.1331  5 Br 2.53-2.75
Mg: 0.8226 0.8226 0.8669  5 Br 2.53-2.75
Tl: 0.4056 0.4056 0.3615  3 Br 3.30-3.60, 1 Tl 3.36, 1 Mg 3.54
Tl: 0.5944 0.5944 0.6385  3 Br 3.30-3.60, 1 Tl 3.36, 1 Mg 3.54
Br: 0.0000 0.0000 0.0000  2 Mg 2.58
Br: 0.1408 0.1408 0.4276  1 Mg 2.53
Br: 0.2862 0.2862 0.8749  3 Mg 2.64-2.75
Br: 0.7138 0.7138 0.1251  3 Mg 2.64-2.75
Br: 0.8592 0.8592 0.5724  1 Mg 2.53

E_form (uncorrected): -1.00 eV/atom
total DFT energy (no corrections): -2.81 eV per atom
Fermi-level density of states: 1.87 states/eV per cell
calculated density: 4706 kg/m³
crystal system: monoclinic
V: 302.33 Å³ per cell



Compound: ZnHg3
Source: Alexandria
Functional: GGA-PBE
Structure: optimized geometry

a = 4.3552 Å, b = 4.3552 Å, c = 7.3089 Å
α = 99.59°, β = 99.59°, γ = 46.26°
Last column: nearest neighbours and their distance in Å.
Fractional positions:
Zn: 0.0000 0.0000 0.0000  6 Hg 2.84-2.86
Hg: 0.2575 0.2575 0.7793  3 Zn 2.84-2.86, 3 Hg 3.06-3.13
Hg: 0.5000 0.5000 0.5000  8 Hg 3.06-3.42
Hg: 0.7425 0.7425 0.2207  3 Zn 2.84-2.86, 3 Hg 3.06-3.13

total DFT energy (no corrections): -0.47 eV per atom
Fermi-level density of states: 0.91 states/eV per cell
calculated density: 11248 kg/m³
DFT formation energy: 0.08 eV per atom
crystal system: monoclinic
V: 98.50 Å³ per cell



Compound: ZrOs2Pb
Source: Alexandria
Functional: GGA-PBE
Structure: optimized geometry

a = 5.4590 Å, b = 5.4590 Å, c = 4.8674 Å
α = 109.82°, β = 109.82°, γ = 33.03°
Last column: nearest neighbours and their distance in Å.
Fractional positions:
Zr: 0.0000 0.0000 0.0000  4 Os 2.76-3.03, 3 Pb 2.95-3.09
Os: 0.2335 0.2335 0.6740  2 Os 2.63, 2 Pb 2.82
Os: 0.5171 0.5171 0.5454  2 Os 2.63, 2 Zr 2.76, 2 Pb 2.93
Pb: 0.7727 0.7727 0.2257  6 Os 2.82-3.00, 3 Zr 2.95-3.09, 2 Pb 3.10

total DFT energy (no corrections): -8.32 eV per atom
Fermi-level density of states: 2.28 states/eV per cell
calculated density: 15242 kg/m³
DFT formation energy: 0.36 eV per atom
crystal system: monoclinic
V: 73.96 Å³ per cell



Compound: CsZn2Cu
Source: Alexandria
Functional: GGA-PBE
Structure: optimized geometry

a = 8.6979 Å, b = 8.6979 Å, c = 8.6979 Å
α = 140.44°, β = 140.44°, γ = 57.18°
Last column: nearest neighbours and their distance in Å.
Fractional positions:
Cs: 0.3750 0.6250 0.7500  8 Zn 3.80, 4 Cu 4.16
Cs: 0.6250 0.3750 0.2500  8 Zn 3.80, 4 Cu 4.16
Zn: 0.0000 0.0000 0.0000  2 Cu 2.41
Zn: 0.0000 0.0000 0.5000  2 Cu 2.41
Zn: 0.0000 0.5000 0.0000  2 Cu 2.41
Zn: 0.5000 0.0000 0.5000  2 Cu 2.41
Cu: 0.1250 0.8750 0.2500  4 Zn 2.41
Cu: 0.8750 0.1250 0.7500  4 Zn 2.41

total DFT energy (no corrections): -1.68 eV per atom
Fermi-level density of states: 0.06 states/eV per cell
calculated density: 4107 kg/m³
DFT formation energy: 0.19 eV per atom
crystal system: tetragonal
V: 264.66 Å³ per cell



Compound: HfCrPd2
Source: Alexandria
Functional: GGA-PBE
Structure: optimized geometry

a = 4.5656 Å, b = 4.5656 Å, c = 4.5656 Å
α = 60.00°, β = 60.00°, γ = 60.00°
Last column: nearest neighbours and their distance in Å.
Fractional positions:
Hf: 0.0000 0.0000 0.0000  8 Pd 2.80
Cr: 0.5000 0.5000 0.5000  8 Pd 2.80
Pd: 0.2500 0.2500 0.2500  4 Cr 2.80, 4 Hf 2.80
Pd: 0.7500 0.7500 0.7500  4 Cr 2.80, 4 Hf 2.80

total DFT energy (no corrections): -7.85 eV per atom
Fermi-level density of states: 2.44 states/eV per cell
calculated density: 10940 kg/m³
DFT formation energy: -0.36 eV per atom
crystal system: cubic
V: 67.29 Å³ per cell



Compound: BaZnCuNi
Source: Alexandria
Functional: GGA-PBE
Structure: optimized geometry

a = 4.2956 Å, b = 4.2956 Å, c = 6.0733 Å
α = 110.91°, β = 110.91°, γ = 60.09°
Last column: nearest neighbours and their distance in Å.
Fractional positions:
Ba: 0.0000 0.0000 0.0000  1 Ni 3.09, 1 Cu 3.09
Zn: 0.4955 0.4955 0.4849  3 Ni 2.49, 3 Cu 2.51-2.52
Cu: 0.1867 0.1867 0.5592  3 Zn 2.51-2.52, 3 Ni 2.56-2.57
Ni: 0.8143 0.8143 0.4420  3 Zn 2.49, 3 Cu 2.56-2.57

total DFT energy (no corrections): -3.41 eV per atom
Fermi-level density of states: 2.39 states/eV per cell
calculated density: 6098 kg/m³
DFT formation energy: -0.14 eV per atom
crystal system: monoclinic
V: 88.50 Å³ per cell